Record 1
NaAlPCl2: optimized geometry, PBE.

Raw formation energy   -632 meV/atom
Energy relative to the lowest polymorph listed for this composition   0 meV/atom

a b c (Å): 4.994 4.994 4.672
angles (deg): 90.00 90.00 90.00
Fractional positions:
Na (0.000, 0.000, 0.000)
Al (0.500, 0.500, 0.500)
P (0.500, 0.500, 0.000)
Cl (0.000, 0.500, 0.500)
Cl (0.500, 0.000, 0.500)

---

Record 2
Cs2KH6Ir: optimized geometry, PBE.

Electronic total energy   -35.28 eV/cell

a b c (Å): 6.253 6.253 6.253
angles (deg): 60.00 60.00 60.00
Fractional positions:
Cs (0.250, 0.250, 0.250)
Cs (0.750, 0.750, 0.750)
K (0.000, 0.000, 0.000)
H (0.308, 0.308, 0.692)
H (0.308, 0.692, 0.308)
H (0.308, 0.692, 0.692)
H (0.692, 0.308, 0.308)
H (0.692, 0.308, 0.692)
H (0.692, 0.692, 0.308)
Ir (0.500, 0.500, 0.500)